1.
This record from Alexandria describes an optimized crystal structure of InFeOs2. The functional is PBE.

Properties
Total moment = 2.346 μB per formula unit
Energy of formation = 0.45 eV/atom

Cell: 9.006 9.006 9.006 Å, 18.01 18.01 18.01°
Site moments in Bohr magnetons follow the coordinates.
Atoms (fractional coordinates):
Fe (0.250, 0.250, 0.250)  2.41
In (0.750, 0.750, 0.750)  -0.01
Os (0.992, 0.992, 0.992)  -0.04
Os (0.508, 0.508, 0.508)  -0.04

---

2.
This record from Alexandria describes an optimized crystal structure of CeDy2Al3. The functional is PBE.

Properties
Total moment = 0.676 μB per formula unit
Energy of formation = -0.36 eV/atom

Cell: 3.554 3.554 11.279 Å, 90.00 90.00 90.00°
Site moments in Bohr magnetons follow the coordinates.
Atoms (fractional coordinates):
Ce (0.500, 0.500, 0.500)  0.58
Dy (0.500, 0.500, 0.838)  0.00
Dy (0.500, 0.500, 0.162)  0.00
Al (0.000, 0.000, 0.000)  0.00
Al (0.000, 0.000, 0.676)  0.00
Al (0.000, 0.000, 0.324)  0.00

---

3.
This record from Alexandria describes an optimized crystal structure of AcPm2Ga. The functional is PBE.

Properties
Total moment = 0.001 μB per formula unit
Energy of formation = 0.01 eV/atom
Relative energy among the computed polymorphs = 0.251 eV per atom

Cell: 5.576 5.576 5.576 Å, 60.00 60.00 60.00°
Atoms (fractional coordinates):
Ac (0.000, 0.000, 0.000)
Ga (0.500, 0.500, 0.500)
Pm (0.250, 0.250, 0.250)
Pm (0.750, 0.750, 0.750)

---

4.
This record from Alexandria describes an optimized crystal structure of LiW2Se. The functional is PBE.

Properties
Total moment = 0.000 μB per formula unit
ΔE_f (raw) = 0.171 eV per atom

Cell: 3.310 3.310 5.791 Å, 90.00 90.00 90.00°
Atoms (fractional coordinates):
Li (0.000, 0.000, 0.522)
Se (0.500, 0.500, 0.702)
W (0.000, 0.000, 0.031)
W (0.500, 0.500, 0.245)

---

5.
This record from Alexandria describes an optimized crystal structure of Er2MnSi3Pt4. The functional is PBE.

Properties
Total moment = 3.318 μB per formula unit
ΔE_f (raw) = -0.972 eV per atom

Cell: 4.115 4.115 10.293 Å, 90.00 90.00 90.00°
Site moments in Bohr magnetons follow the coordinates.
Atoms (fractional coordinates):
Er (0.500, 0.000, 0.251)  -0.05
Er (0.000, 0.500, 0.749)  -0.05
Mn (0.500, 0.500, 0.500)  3.32
Si (0.000, 0.000, 0.500)  -0.02
Si (0.500, 0.000, 0.866)  -0.01
Si (0.000, 0.500, 0.134)  -0.01
Pt (0.500, 0.500, 0.000)  -0.03
Pt (0.000, 0.000, 0.000)  -0.01
Pt (0.500, 0.000, 0.640)  0.05
Pt (0.000, 0.500, 0.360)  0.05

---

6.
This record from Alexandria describes an optimized crystal structure of DyY3Hg7. The functional is PBE.

Properties
Total moment = 0.000 μB per formula unit
Energy of formation = -0.22 eV/atom

Cell: 3.635 15.637 12.658 Å, 90.00 90.00 96.68°
Atoms (fractional coordinates):
Dy (0.929, 0.857, 0.250)
Dy (0.071, 0.143, 0.750)
Y (0.069, 0.138, 0.452)
Y (0.931, 0.862, 0.548)
Y (0.190, 0.379, 0.750)
Y (0.810, 0.621, 0.250)
Y (0.069, 0.138, 0.048)
Y (0.931, 0.862, 0.952)
Hg (0.422, 0.844, 0.750)
Hg (0.578, 0.156, 0.250)
Hg (0.489, 0.977, 0.383)
Hg (0.511, 0.023, 0.617)
Hg (0.511, 0.023, 0.883)
Hg (0.489, 0.977, 0.117)
Hg (0.372, 0.743, 0.399)
Hg (0.628, 0.257, 0.601)
Hg (0.269, 0.539, 0.422)
Hg (0.731, 0.461, 0.578)
Hg (0.731, 0.461, 0.922)
Hg (0.269, 0.539, 0.078)
Hg (0.372, 0.743, 0.101)
Hg (0.628, 0.257, 0.899)

---

7.
This record from Alexandria describes an optimized crystal structure of SiP2SO. The functional is PBE.

Properties
Total moment = 0.000 μB per formula unit
ΔE_f (raw) = 0.611 eV per atom
Relative energy among the computed polymorphs = 0.615 eV per atom

Cell: 3.748 3.748 6.140 Å, 90.00 90.00 90.00°
Atoms (fractional coordinates):
P (0.000, 0.500, 0.000)
P (0.500, 0.000, 0.000)
S (0.000, 0.000, 0.500)
Si (0.500, 0.500, 0.500)
O (0.000, 0.000, 0.000)

---

8.
This record from Alexandria describes an optimized crystal structure of Pa2PtS. The functional is PBE.

Properties
Total moment = 0.347 μB per formula unit
ΔE_f (raw) = -1.007 eV per atom

Cell: 3.613 3.613 8.155 Å, 77.20 77.20 60.00°
Site moments in Bohr magnetons follow the coordinates.
Atoms (fractional coordinates):
Pa (0.084, 0.084, 0.748)  0.27
Pa (0.249, 0.249, 0.254)  0.00
Pt (0.666, 0.666, 0.001)  0.00
S (0.501, 0.501, 0.498)  0.00